# HgPtW2 GGA-PBEsol optimized geometry
# - Energy relative to the elements: 0.41 eV/atom
data_HgPtW2
_space_group_name_H-M_alt 'P 4/m m m'
_space_group_IT_number 123
_space_group_name_Hall '-P 4 2'
_cell_length_a 3.892
_cell_length_b 3.892
_cell_length_c 4.270
_cell_angle_alpha 90.00
_cell_angle_beta 90.00
_cell_angle_gamma 90.00
loop_
_atom_site_label
_atom_site_fract_x
_atom_site_fract_y
_atom_site_fract_z
Hg1 0.000 0.000 0.000
Pt1 0.500 0.500 0.000
W1 0.000 0.500 0.500


# RbLi2As2 GGA-PBEsol optimized geometry
# - Energy relative to the elements: -0.48 eV/atom
data_RbLi2As2
_space_group_name_H-M_alt 'I 4/m m m'
_space_group_IT_number 139
_space_group_name_Hall '-I 4 2'
_cell_length_a 4.695
_cell_length_b 4.695
_cell_length_c 10.022
_cell_angle_alpha 90.00
_cell_angle_beta 90.00
_cell_angle_gamma 90.00
loop_
_atom_site_label
_atom_site_fract_x
_atom_site_fract_y
_atom_site_fract_z
Rb1 0.000 0.000 0.000
Li1 0.000 0.500 0.250
As1 0.000 0.000 0.380


Material: FeCoCl2
Method: DFT, GGA-PBEsol
State: optimized geometry

```
data_FeCoCl2
_space_group_name_H-M_alt 'P m m m'
_space_group_IT_number 47
_space_group_name_Hall '-P 2 2'
_cell_length_a 2.967
_cell_length_b 3.672
_cell_length_c 5.579
_cell_angle_alpha 90.00
_cell_angle_beta 90.00
_cell_angle_gamma 90.00
loop_
_atom_site_label
_atom_site_fract_x
_atom_site_fract_y
_atom_site_fract_z
Fe1 0.000 0.000 0.000
Co1 0.500 0.000 0.500
Cl1 0.000 0.500 0.500
Cl2 0.500 0.500 0.000
```


Material: KCaBi2Se
Method: DFT, GGA-PBEsol
State: optimized geometry

```
data_KCaBi2Se
_space_group_name_H-M_alt 'P 4/m m m'
_space_group_IT_number 123
_space_group_name_Hall '-P 4 2'
_cell_length_a 5.860
_cell_length_b 5.860
_cell_length_c 5.439
_cell_angle_alpha 90.00
_cell_angle_beta 90.00
_cell_angle_gamma 90.00
loop_
_atom_site_label
_atom_site_fract_x
_atom_site_fract_y
_atom_site_fract_z
K1 0.000 0.000 0.000
Ca1 0.500 0.500 0.500
Bi1 0.000 0.500 0.500
Se1 0.500 0.500 0.000
```


Material: NaH3Pb
Method: DFT, GGA-PBEsol
State: optimized geometry

```
data_NaH3Pb
_space_group_name_H-M_alt 'P m -3 m'
_space_group_IT_number 221
_space_group_name_Hall '-P 4 2 3'
_cell_length_a 3.976
_cell_length_b 3.976
_cell_length_c 3.976
_cell_angle_alpha 90.00
_cell_angle_beta 90.00
_cell_angle_gamma 90.00
loop_
_atom_site_label
_atom_site_fract_x
_atom_site_fract_y
_atom_site_fract_z
Na1 0.000 0.000 0.000
H1 0.000 0.000 0.500
Pb1 0.500 0.500 0.500
```


Material: K3HS2O8
Method: DFT, GGA-PBEsol
State: optimized geometry

```
data_K3HS2O8
_space_group_name_H-M_alt 'C 1 2/m 1'
_space_group_IT_number 12
_space_group_name_Hall '-C 2y'
_cell_length_a 9.890
_cell_length_b 5.585
_cell_length_c 7.885
_cell_angle_alpha 90.00
_cell_angle_beta 115.35
_cell_angle_gamma 90.00
loop_
_atom_site_label
_atom_site_fract_x
_atom_site_fract_y
_atom_site_fract_z
K1 0.000 0.000 0.000
K2 0.196 0.000 0.617
H1 0.000 0.500 0.000
S1 0.072 0.500 0.768
O1 0.018 0.282 0.309
O2 0.116 0.500 0.981
O3 0.211 0.500 0.743
```


Material: SrSnO2
Method: DFT, GGA-PBEsol
State: optimized geometry

```
data_SrSnO2
_space_group_name_H-M_alt 'I -4 2 d'
_space_group_IT_number 122
_space_group_name_Hall 'I -4 2bw'
_cell_length_a 5.355
_cell_length_b 5.355
_cell_length_c 11.476
_cell_angle_alpha 90.00
_cell_angle_beta 90.00
_cell_angle_gamma 90.00
loop_
_atom_site_label
_atom_site_fract_x
_atom_site_fract_y
_atom_site_fract_z
Sr1 0.000 0.000 0.000
Sn1 0.000 0.000 0.500
O1 0.236 0.250 0.625
```


# BaZnHg2Ge GGA-PBEsol optimized geometry
# - Energy relative to the elements: -0.09 eV/atom
data_BaZnHg2Ge
_space_group_name_H-M_alt 'P 4/m m m'
_space_group_IT_number 123
_space_group_name_Hall '-P 4 2'
_cell_length_a 5.387
_cell_length_b 5.387
_cell_length_c 4.829
_cell_angle_alpha 90.00
_cell_angle_beta 90.00
_cell_angle_gamma 90.00
loop_
_atom_site_label
_atom_site_fract_x
_atom_site_fract_y
_atom_site_fract_z
Ba1 0.000 0.000 0.000
Zn1 0.500 0.500 0.000
Hg1 0.000 0.500 0.500
Ge1 0.500 0.500 0.500


What total DFT energy (no corrections) values result from the calculations? In sequence: -8.377, -3.518, -4.859, -3.261, -2.645, -5.867, -5.856, -2.048 eV per atom.
What V values result from the calculations? In sequence: 16.17, 22.10, 15.20, 37.35, 12.57, 14.06, 20.57, 28.03 Å³/atom.